La2YRu: optimized geometry, GGA-PBE.

Computed properties:
Raw total energy, eV per cell: -25.8
Offset from the most stable computed form, eV per formula unit: 0.77
Energy relative to the elements, eV per atom: -0.051
Calculated volume, Å³/f.u.: 129.00

POSCAR file:
```
La2YRu
1.0
1.9700 1.1374 9.5954
-1.9700 1.1374 9.5954
0.0000 -2.2747 9.5954
La Y Ru
2 1 1
direct
0.0000 0.0000 0.0000
0.2175 0.2175 0.2175
0.7741 0.7741 0.7741
0.4975 0.4975 0.4975
```